Below is a relaxed structure of PmSc2IO8, with properties calculated at the GGA-PBE level.

a b c (Å): 4.8725 4.8725 6.7240
angles (deg): 90.00 90.00 91.16
Last column: nearest neighbours and their distance in Å.
Atoms (fractional coordinates):
Pm  0.0000  0.0000  0.0000  6 O 2.25-2.37
Sc  0.5000  0.5000  0.2415  4 O 2.04-2.13
Sc  0.5000  0.5000  0.7585  4 O 2.04-2.13
I  0.0000  0.0000  0.5000  6 O 1.91
O  0.1921  0.1921  0.2932  1 I 1.91, 1 Sc 2.13
O  0.1921  0.1921  0.7068  1 I 1.91, 1 Sc 2.13
O  0.2738  0.7262  0.5000  1 I 1.91
O  0.3236  0.6764  0.0000  2 Sc 2.04, 1 Pm 2.25
O  0.6764  0.3236  0.0000  2 Sc 2.04, 1 Pm 2.25
O  0.7262  0.2738  0.5000  1 I 1.91
O  0.8079  0.8079  0.2932  1 I 1.91, 1 Sc 2.13
O  0.8079  0.8079  0.7068  1 I 1.91, 1 Sc 2.13

As for the uncorrected formation energy: -2.25 eV per atom. The symmetry is Cmmm, No. 65. Its crystal system is orthorhombic.